{
  "formula": "TeAsSe2N",
  "functional": "PBE-GGA",
  "state": "relaxed",
  "density_g_cm3": 4.1,
  "final_energy_ev_per_atom": -2.55,
  "formation_energy_uncorrected_ev_per_atom": 2.064,
  "total_magnetization_mub_per_atom": 0.003,
  "cell": [[-2.675, -1.532, -4.281], [-0.476, -4.845, 2.031], [-4.665, 1.461, 2.392]],
  "species": ["Se", "Te", "As", "Se", "N"],
  "frac_coords": [[0.000, 0.500, 0.000], [0.000, 0.000, 0.000], [0.000, 0.000, 0.500], [0.500, 0.000, 0.000], [0.500, 0.500, 0.500]]
}